{"formula": "LiNdSeO", "functional": "PBE", "state": "relaxed", "vol_a3_per_atom": 16.63, "e_above_lowest_polymorph_mev_per_atom": 156, "lattice": [[-3.766, 2.074, -1.487], [0.938, -1.082, -3.885], [-3.625, -6.009, 0.799]], "species": ["Nd", "Nd", "O", "O", "Se", "Se", "Li", "Li"], "fractional_positions": [[0.500, 0.251, 0.458], [0.500, 0.749, 0.958], [0.500, 0.248, 0.124], [0.500, 0.752, 0.624], [0.000, 0.748, 0.287], [0.000, 0.252, 0.787], [0.000, 0.752, 0.622], [0.000, 0.248, 0.122]]}

---

{"formula": "Li3Nd3Se2O12", "functional": "PBE", "state": "relaxed", "vol_a3_per_atom": 11.66, "energy_ev_per_atom": -6.39, "lattice": [[6.155, 6.155, 6.155], [-6.155, 6.155, -6.155], [-6.155, -6.155, 6.155]], "species": ["O", "O", "O", "O", "O", "O", "O", "O", "O", "O", "O", "O", "O", "O", "O", "O", "O", "O", "O", "O", "O", "O", "O", "O", "O", "O", "O", "O", "O", "O", "O", "O", "O", "O", "O", "O", "O", "O", "O", "O", "O", "O", "O", "O", "O", "O", "O", "O", "Li", "Li", "Li", "Li", "Li", "Li", "Li", "Li", "Li", "Li", "Li", "Li", "Nd", "Nd", "Nd", "Nd", "Nd", "Nd", "Nd", "Nd", "Nd", "Nd", "Nd", "Nd", "Se", "Se", "Se", "Se", "Se", "Se", "Se", "Se"], "fractional_positions": [[0.425, 0.333, 0.815], [0.610, 0.185, 0.518], [0.185, 0.075, 0.167], [0.167, 0.982, 0.592], [0.890, 0.482, 0.815], [0.815, 0.390, 0.982], [0.890, 0.908, 0.075], [0.425, 0.592, 0.610], [0.408, 0.575, 0.890], [0.482, 0.890, 0.315], [0.482, 0.092, 0.167], [0.982, 0.167, 0.092], [0.075, 0.390, 0.408], [0.390, 0.815, 0.482], [0.908, 0.890, 0.575], [0.592, 0.667, 0.482], [0.667, 0.575, 0.685], [0.575, 0.667, 0.185], [0.018, 0.685, 0.110], [0.908, 0.518, 0.333], [0.333, 0.425, 0.315], [0.833, 0.315, 0.425], [0.815, 0.925, 0.833], [0.315, 0.833, 0.925], [0.833, 0.018, 0.408], [0.315, 0.982, 0.390], [0.592, 0.425, 0.110], [0.333, 0.408, 0.018], [0.092, 0.110, 0.425], [0.925, 0.815, 0.333], [0.075, 0.185, 0.667], [0.925, 0.610, 0.592], [0.667, 0.592, 0.982], [0.110, 0.518, 0.185], [0.982, 0.315, 0.890], [0.518, 0.110, 0.685], [0.685, 0.167, 0.075], [0.390, 0.075, 0.908], [0.185, 0.610, 0.018], [0.092, 0.482, 0.667], [0.575, 0.408, 0.390], [0.685, 0.018, 0.610], [0.167, 0.685, 0.575], [0.110, 0.092, 0.925], [0.518, 0.908, 0.833], [0.610, 0.925, 0.092], [0.018, 0.833, 0.908], [0.408, 0.333, 0.518], [0.875, 0.750, 0.125], [0.625, 0.875, 0.250], [0.250, 0.625, 0.875], [0.375, 0.125, 0.750], [0.750, 0.375, 0.125], [0.250, 0.125, 0.375], [0.125, 0.250, 0.875], [0.375, 0.750, 0.625], [0.625, 0.250, 0.375], [0.875, 0.625, 0.750], [0.125, 0.375, 0.250], [0.750, 0.875, 0.625], [0.250, 0.375, 0.625], [0.875, 0.250, 0.625], [0.625, 0.375, 0.750], [0.125, 0.750, 0.375], [0.750, 0.625, 0.375], [0.625, 0.750, 0.875], [0.375, 0.250, 0.125], [0.750, 0.125, 0.875], [0.250, 0.875, 0.125], [0.125, 0.875, 0.750], [0.375, 0.625, 0.250], [0.875, 0.125, 0.250], [0.000, 0.500, 0.000], [0.500, 0.000, 0.000], [0.500, 0.000, 0.500], [0.500, 0.500, 0.000], [0.000, 0.000, 0.000], [0.000, 0.000, 0.500], [0.000, 0.500, 0.500], [0.500, 0.500, 0.500]]}

---

{"formula": "LiNdSeO", "functional": "PBE", "state": "relaxed", "vol_a3_per_atom": 18.20, "e_above_lowest_polymorph_mev_per_atom": 0, "lattice": [[5.485, 0.000, -1.494], [0.000, 5.690, 0.000], [-3.088, 0.000, 10.172]], "species": ["Li", "Li", "Li", "Li", "O", "O", "O", "O", "Nd", "Nd", "Nd", "Nd", "Se", "Se", "Se", "Se"], "fractional_positions": [[0.250, 0.489, 0.500], [0.250, 0.989, 0.500], [0.750, 0.989, 0.500], [0.750, 0.489, 0.500], [0.750, 0.486, 0.000], [0.250, 0.486, 0.000], [0.750, 0.986, 0.000], [0.250, 0.986, 0.000], [0.632, 0.236, 0.132], [0.368, 0.736, 0.868], [0.132, 0.736, 0.132], [0.868, 0.236, 0.868], [0.327, 0.239, 0.327], [0.827, 0.738, 0.327], [0.173, 0.238, 0.673], [0.673, 0.739, 0.673]]}

---

{"formula": "Li2TbNdSe2O2", "functional": "PBE", "state": "relaxed", "vol_a3_per_atom": 17.61, "energy_ev_per_atom": -6.14, "lattice": [[3.967, 0.000, 0.000], [0.000, 3.967, 0.000], [0.000, 0.000, 8.952]], "species": ["Li", "Li", "Se", "Se", "Tb", "O", "O", "Nd"], "fractional_positions": [[0.500, 0.000, 0.502], [0.000, 0.500, 0.502], [0.000, 0.000, 0.324], [0.500, 0.500, 0.677], [0.000, 0.000, 0.874], [0.000, 0.500, 0.995], [0.500, 0.000, 0.995], [0.500, 0.500, 0.131]]}

---

{"formula": "Li3Nd3Te2O12", "functional": "PBE", "state": "relaxed", "vol_a3_per_atom": 12.43, "energy_ev_per_atom": -6.59, "lattice": [[6.289, 6.289, 6.289], [-6.289, 6.289, -6.289], [-6.289, -6.289, 6.289]], "species": ["O", "O", "O", "O", "O", "O", "O", "O", "O", "O", "O", "O", "O", "O", "O", "O", "O", "O", "O", "O", "O", "O", "O", "O", "O", "O", "O", "O", "O", "O", "O", "O", "O", "O", "O", "O", "O", "O", "O", "O", "O", "O", "O", "O", "O", "O", "O", "O", "Nd", "Nd", "Nd", "Nd", "Nd", "Nd", "Nd", "Nd", "Nd", "Nd", "Nd", "Nd", "Li", "Li", "Li", "Li", "Li", "Li", "Li", "Li", "Li", "Li", "Li", "Li", "Te", "Te", "Te", "Te", "Te", "Te", "Te", "Te"], "fractional_positions": [[0.093, 0.116, 0.422], [0.593, 0.422, 0.116], [0.116, 0.093, 0.922], [0.328, 0.407, 0.023], [0.384, 0.078, 0.907], [0.523, 0.907, 0.828], [0.523, 0.116, 0.695], [0.477, 0.093, 0.172], [0.805, 0.922, 0.828], [0.578, 0.672, 0.195], [0.407, 0.328, 0.523], [0.305, 0.828, 0.922], [0.328, 0.422, 0.305], [0.672, 0.593, 0.977], [0.977, 0.305, 0.884], [0.593, 0.672, 0.477], [0.023, 0.828, 0.907], [0.884, 0.907, 0.078], [0.578, 0.407, 0.384], [0.305, 0.977, 0.384], [0.805, 0.384, 0.977], [0.828, 0.023, 0.407], [0.977, 0.172, 0.093], [0.172, 0.695, 0.578], [0.078, 0.384, 0.407], [0.195, 0.078, 0.172], [0.907, 0.884, 0.578], [0.884, 0.477, 0.805], [0.922, 0.616, 0.593], [0.407, 0.578, 0.884], [0.828, 0.305, 0.422], [0.695, 0.172, 0.078], [0.422, 0.328, 0.805], [0.422, 0.593, 0.616], [0.477, 0.884, 0.305], [0.616, 0.922, 0.093], [0.384, 0.805, 0.477], [0.695, 0.023, 0.616], [0.672, 0.578, 0.695], [0.078, 0.195, 0.672], [0.023, 0.695, 0.116], [0.616, 0.195, 0.523], [0.195, 0.616, 0.023], [0.907, 0.523, 0.328], [0.116, 0.523, 0.195], [0.172, 0.977, 0.593], [0.093, 0.477, 0.672], [0.922, 0.805, 0.328], [0.750, 0.625, 0.375], [0.625, 0.375, 0.750], [0.125, 0.875, 0.750], [0.375, 0.250, 0.125], [0.875, 0.125, 0.250], [0.250, 0.375, 0.625], [0.750, 0.125, 0.875], [0.875, 0.250, 0.625], [0.375, 0.625, 0.250], [0.250, 0.875, 0.125], [0.125, 0.750, 0.375], [0.625, 0.750, 0.875], [0.125, 0.375, 0.250], [0.125, 0.250, 0.875], [0.250, 0.125, 0.375], [0.625, 0.250, 0.375], [0.875, 0.625, 0.750], [0.375, 0.125, 0.750], [0.875, 0.750, 0.125], [0.375, 0.750, 0.625], [0.750, 0.375, 0.125], [0.250, 0.625, 0.875], [0.750, 0.875, 0.625], [0.625, 0.875, 0.250], [0.500, 0.500, 0.000], [0.500, 0.500, 0.500], [0.000, 0.500, 0.000], [0.000, 0.000, 0.000], [0.500, 0.000, 0.500], [0.500, 0.000, 0.000], [0.000, 0.500, 0.500], [0.000, 0.000, 0.500]]}

---

{"formula": "LiNdTeO", "functional": "PBE", "state": "relaxed", "vol_a3_per_atom": 20.31, "e_above_lowest_polymorph_mev_per_atom": 143, "lattice": [[-5.517, -3.092, -0.580], [3.296, -6.401, 2.773], [-0.826, 2.281, 6.248]], "species": ["Te", "Te", "Te", "Te", "Li", "Li", "Li", "Li", "Nd", "Nd", "Nd", "Nd", "O", "O", "O", "O"], "fractional_positions": [[0.868, 0.548, 0.719], [0.868, 0.952, 0.219], [0.132, 0.048, 0.781], [0.132, 0.452, 0.281], [0.851, 0.233, 0.520], [0.851, 0.267, 0.020], [0.149, 0.767, 0.480], [0.149, 0.733, 0.980], [0.601, 0.607, 0.228], [0.399, 0.107, 0.272], [0.601, 0.893, 0.728], [0.399, 0.393, 0.772], [0.431, 0.678, 0.915], [0.569, 0.322, 0.085], [0.569, 0.178, 0.585], [0.431, 0.822, 0.415]]}

---

{"formula": "LiNdTeO", "functional": "PBE", "state": "relaxed", "vol_a3_per_atom": 21.02, "e_above_lowest_polymorph_mev_per_atom": 356, "lattice": [[4.266, 0.000, 0.000], [0.000, 5.592, 0.000], [0.000, 0.000, 7.050]], "species": ["Nd", "Nd", "O", "O", "Te", "Te", "Li", "Li"], "fractional_positions": [[0.500, 0.868, 0.959], [0.500, 0.132, 0.459], [0.500, 0.190, 0.147], [0.500, 0.810, 0.647], [0.000, 0.718, 0.259], [0.000, 0.282, 0.759], [0.000, 0.262, 0.127], [0.000, 0.738, 0.627]]}

---

{"formula": "LiNdTeO", "functional": "PBE", "state": "relaxed", "vol_a3_per_atom": 20.49, "e_above_lowest_polymorph_mev_per_atom": 0, "lattice": [[4.159, 0.000, 0.000], [0.000, 4.159, 0.000], [0.000, 0.000, 9.475]], "species": ["Te", "Te", "Nd", "Nd", "Li", "Li", "O", "O"], "fractional_positions": [[0.250, 0.250, 0.685], [0.750, 0.750, 0.315], [0.750, 0.750, 0.881], [0.250, 0.250, 0.119], [0.250, 0.750, 0.500], [0.750, 0.250, 0.500], [0.750, 0.250, 0.000], [0.250, 0.750, 0.000]]}

---

{"formula": "LiNd2OsS6", "functional": "PBE", "state": "relaxed", "vol_a3_per_atom": 20.15, "energy_ev_per_atom": -5.93, "lattice": [[-2.309, 3.995, 4.270], [2.570, -4.017, 5.148], [10.108, 0.759, -4.455]], "species": ["S", "S", "S", "S", "S", "S", "S", "S", "S", "S", "S", "S", "Nd", "Nd", "Nd", "Nd", "Os", "Os", "Li", "Li"], "fractional_positions": [[0.860, 0.484, 0.246], [0.233, 0.323, 0.053], [0.387, 0.698, 0.550], [0.233, 0.177, 0.553], [0.140, 0.984, 0.254], [0.613, 0.198, 0.950], [0.767, 0.677, 0.947], [0.140, 0.516, 0.754], [0.767, 0.823, 0.447], [0.860, 0.016, 0.746], [0.613, 0.302, 0.450], [0.387, 0.802, 0.050], [0.295, 0.609, 0.250], [0.705, 0.391, 0.750], [0.705, 0.109, 0.250], [0.295, 0.891, 0.750], [0.500, 0.000, 0.500], [0.500, 0.500, 0.000], [0.000, 0.000, 0.000], [0.000, 0.500, 0.500]]}

---

{"formula": "LiNdPa", "functional": "PBE", "state": "relaxed", "vol_a3_per_atom": 26.43, "e_above_lowest_polymorph_mev_per_atom": 0, "lattice": [[-4.351, -1.006, 1.819], [-3.170, 3.550, 0.771], [-3.922, 0.377, -2.781]], "species": ["Nd", "Pa", "Li"], "fractional_positions": [[0.000, 0.000, 0.000], [0.750, 0.750, 0.750], [0.250, 0.250, 0.250]]}

---

{"formula": "Li3PrNd2Pb3", "functional": "PBE", "state": "relaxed", "vol_a3_per_atom": 26.08, "energy_ev_per_atom": -3.97, "lattice": [[-0.780, -4.765, -0.277], [3.244, 2.093, -2.914], [8.271, -1.814, 7.906]], "species": ["Pb", "Pb", "Pb", "Li", "Li", "Li", "Nd", "Nd", "Pr"], "fractional_positions": [[0.333, 0.667, 0.328], [0.000, 0.000, 0.000], [0.333, 0.667, 0.672], [0.000, 0.000, 0.311], [0.333, 0.667, 0.000], [0.000, 0.000, 0.689], [0.667, 0.333, 0.836], [0.667, 0.333, 0.164], [0.667, 0.333, 0.500]]}

---

{"formula": "Li3Pr2NdPb3", "functional": "PBE", "state": "relaxed", "vol_a3_per_atom": 26.23, "energy_ev_per_atom": -3.97, "lattice": [[-0.342, -3.851, -2.925], [4.136, 2.519, 0.217], [3.723, -6.852, 8.586]], "species": ["Li", "Li", "Li", "Pb", "Pb", "Pb", "Pr", "Pr", "Nd"], "fractional_positions": [[0.333, 0.667, 0.311], [0.667, 0.333, 0.000], [0.333, 0.667, 0.689], [0.333, 0.667, 0.000], [0.667, 0.333, 0.328], [0.667, 0.333, 0.672], [0.000, 0.000, 0.836], [0.000, 0.000, 0.164], [0.000, 0.000, 0.500]]}

---

{"formula": "LiNdPbSe3", "functional": "PBE", "state": "relaxed", "vol_a3_per_atom": 26.43, "energy_ev_per_atom": -4.71, "lattice": [[2.109, -6.750, 0.000], [2.109, 6.750, 0.000], [0.000, 0.000, 11.142]], "species": ["Pb", "Pb", "Li", "Li", "Se", "Se", "Se", "Se", "Se", "Se", "Nd", "Nd"], "fractional_positions": [[0.243, 0.757, 0.250], [0.757, 0.243, 0.750], [0.476, 0.524, 0.750], [0.524, 0.476, 0.250], [0.083, 0.917, 0.750], [0.359, 0.641, 0.574], [0.359, 0.641, 0.926], [0.641, 0.359, 0.074], [0.641, 0.359, 0.426], [0.917, 0.083, 0.250], [0.000, 0.000, 0.500], [0.000, 0.000, 0.000]]}

---

{"formula": "Li3Nd2SmPb3", "functional": "PBE", "state": "relaxed", "vol_a3_per_atom": 25.67, "energy_ev_per_atom": -3.96, "lattice": [[-0.111, -2.991, -3.808], [-0.722, -1.735, 4.464], [-11.172, 1.816, -1.102]], "species": ["Li", "Li", "Li", "Pb", "Pb", "Pb", "Nd", "Nd", "Sm"], "fractional_positions": [[0.333, 0.667, 0.500], [0.667, 0.333, 0.188], [0.667, 0.333, 0.812], [0.333, 0.667, 0.830], [0.667, 0.333, 0.500], [0.333, 0.667, 0.170], [0.000, 0.000, 0.335], [0.000, 0.000, 0.665], [0.000, 0.000, 0.000]]}

---

{"formula": "Li3TbNd2Pb3", "functional": "PBE", "state": "relaxed", "vol_a3_per_atom": 25.32, "energy_ev_per_atom": -3.94, "lattice": [[4.854, 0.000, 0.000], [-2.427, 4.203, 0.000], [0.000, 0.000, 11.172]], "species": ["Tb", "Nd", "Nd", "Li", "Li", "Li", "Pb", "Pb", "Pb"], "fractional_positions": [[0.000, 0.000, 0.000], [0.000, 0.000, 0.668], [0.000, 0.000, 0.332], [0.667, 0.333, 0.184], [0.667, 0.333, 0.816], [0.333, 0.667, 0.500], [0.333, 0.667, 0.164], [0.667, 0.333, 0.500], [0.333, 0.667, 0.836]]}

---

{"formula": "LiNd2Pd5", "functional": "PBE", "state": "relaxed", "vol_a3_per_atom": 18.62, "energy_ev_per_atom": -5.39, "lattice": [[4.076, -4.276, 0.000], [4.076, 4.276, 0.000], [-4.074, 0.000, 4.274]], "species": ["Nd", "Nd", "Pd", "Pd", "Pd", "Pd", "Pd", "Li"], "fractional_positions": [[0.776, 0.276, 0.500], [0.276, 0.776, 0.500], [0.776, 0.776, 0.498], [0.278, 0.776, 0.000], [0.776, 0.278, 0.000], [0.278, 0.278, 0.502], [0.276, 0.276, 0.000], [0.787, 0.787, 0.000]]}